Entry 1:
A geometry-optimized Tb2Pm2Sm5 structure. Source: the Alexandria database, functional PBE.

Output
The value obtained for the size of the total moment is 0.00 μB per atom. Its formation energy is 0.205 eV/atom. The calculation puts the energy relative to the lowest polymorph listed for this composition at 107 meV per atom. For the total energy, the calculation gives -4.501 eV per atom.

a = 10.1691 Å, b = 10.1691 Å, c = 10.1691 Å
α = 85.03°, β = 108.20°, γ = 140.74°
With the nearest neighbours (Å) after each atom.
Sites, in units of the cell vectors:
Tb 0.0000 0.0000 0.0000  4 Sm 3.33-3.67, 2 Pm 3.73
Tb 0.0000 0.5000 0.5000  4 Sm 3.33-3.67, 2 Pm 3.73
Tb 0.9197 0.6781 0.7416  4 Sm 3.43-3.65, 2 Pm 3.64, 2 Tb 3.78
Tb 0.9365 0.1781 0.2584  4 Sm 3.43-3.65, 2 Pm 3.64, 2 Tb 3.78
Pm 0.4674 0.0964 0.6241  4 Sm 3.36-3.61, 2 Tb 3.64-3.73, 1 Pm 3.70
Pm 0.4674 0.3432 0.8710  4 Sm 3.36-3.61, 2 Tb 3.64-3.73, 1 Pm 3.70
Pm 0.4722 0.5964 0.1290  4 Sm 3.36-3.61, 2 Tb 3.64-3.73, 1 Pm 3.70
Pm 0.4722 0.8432 0.3759  4 Sm 3.36-3.61, 2 Tb 3.64-3.73, 1 Pm 3.70
Sm 0.0711 0.3724 0.8034  4 Sm 3.17-3.42, 1 Tb 3.33, 1 Pm 3.36
Sm 0.0711 0.7677 0.1987  4 Sm 3.17-3.42, 1 Tb 3.33, 1 Pm 3.36
Sm 0.3785 0.8709 0.0075  6 Sm 3.26-3.61, 1 Tb 3.43, 2 Pm 3.61
Sm 0.3810 0.2894 0.3781  4 Sm 3.17-3.44, 1 Pm 3.37, 1 Tb 3.48
Sm 0.3810 0.5029 0.5916  4 Sm 3.17-3.44, 1 Pm 3.37, 1 Tb 3.48
Sm 0.5690 0.2677 0.1966  4 Sm 3.17-3.42, 1 Tb 3.33, 1 Pm 3.36
Sm 0.5690 0.8724 0.8013  4 Sm 3.17-3.42, 1 Tb 3.33, 1 Pm 3.36
Sm 0.8634 0.3709 0.9925  6 Sm 3.26-3.61, 1 Tb 3.43, 2 Pm 3.61
Sm 0.9112 0.0029 0.6219  4 Sm 3.17-3.44, 1 Pm 3.37, 1 Tb 3.48
Sm 0.9112 0.7894 0.4084  4 Sm 3.17-3.44, 1 Pm 3.37, 1 Tb 3.48

=====

Entry 2:
A geometry-optimized Tb12Pm2Sm5 structure. Source: the Alexandria database, functional PBE.

Output
The value obtained for the size of the total moment is 0.00 μB per atom. Its formation energy is 0.061 eV/atom. The calculation puts the energy relative to the lowest polymorph listed for this composition at 0 meV per atom. For the total energy, the calculation gives -4.605 eV per atom.

a = 6.3029 Å, b = 8.9324 Å, c = 12.1520 Å
α = 69.38°, β = 80.58°, γ = 79.26°
With the nearest neighbours (Å) after each atom.
Sites, in units of the cell vectors:
Tb 0.0405 0.0748 0.3272  6 Tb 3.49-3.70, 5 Sm 3.60-3.82
Tb 0.1876 0.2591 0.6675  7 Tb 3.43-3.68, 5 Sm 3.60-3.71
Tb 0.2287 0.3986 0.3594  1 Pm 3.36, 6 Tb 3.43-3.69, 4 Sm 3.46-3.67
Tb 0.2659 0.5378 0.7865  2 Pm 3.27-3.43, 2 Sm 3.37-3.57, 5 Tb 3.43-3.57
Tb 0.3368 0.7935 0.1762  4 Sm 3.39-3.78, 6 Tb 3.45-3.68, 1 Pm 3.49
Tb 0.4145 0.8729 0.8363  6 Tb 3.51-3.90, 2 Pm 3.56-3.69, 4 Sm 3.67-3.81
Tb 0.5855 0.1271 0.1637  6 Tb 3.51-3.90, 2 Pm 3.56-3.69, 4 Sm 3.67-3.81
Tb 0.6632 0.2065 0.8238  4 Sm 3.39-3.78, 6 Tb 3.45-3.68, 1 Pm 3.49
Tb 0.7341 0.4622 0.2135  2 Pm 3.27-3.43, 2 Sm 3.37-3.57, 5 Tb 3.43-3.57
Tb 0.7713 0.6014 0.6406  1 Pm 3.36, 6 Tb 3.43-3.69, 4 Sm 3.46-3.67
Tb 0.8124 0.7409 0.3325  7 Tb 3.43-3.68, 5 Sm 3.60-3.71
Tb 0.9595 0.9252 0.6728  6 Tb 3.49-3.70, 5 Sm 3.60-3.82
Pm 0.2438 0.5036 0.0648  5 Tb 3.27-3.56, 1 Pm 3.35, 1 Sm 3.42
Pm 0.7562 0.4964 0.9352  5 Tb 3.27-3.56, 1 Pm 3.35, 1 Sm 3.42
Sm 0.1378 0.1605 0.9934  8 Tb 3.39-3.78, 2 Pm 3.42-3.66, 1 Sm 3.56
Sm 0.2841 0.6751 0.4893  9 Tb 3.37-3.69, 2 Sm 3.48-3.71
Sm 0.5000 0.0000 0.5000  2 Sm 3.48, 10 Tb 3.59-3.81
Sm 0.7159 0.3249 0.5107  9 Tb 3.37-3.69, 2 Sm 3.48-3.71
Sm 0.8622 0.8395 0.0066  8 Tb 3.39-3.78, 2 Pm 3.42-3.66, 1 Sm 3.56

=====

Entry 3:
A geometry-optimized Tb8Pm3Sm2 structure. Source: the Alexandria database, functional PBE.

Output
The value obtained for the size of the total moment is 0.00 μB per atom. Its formation energy is 0.016 eV/atom. The calculation puts the energy relative to the lowest polymorph listed for this composition at 0 meV per atom. For the total energy, the calculation gives -4.656 eV per atom.

a = 10.7599 Å, b = 10.7599 Å, c = 8.0334 Å
α = 94.27°, β = 94.27°, γ = 27.33°
With the nearest neighbours (Å) after each atom.
Sites, in units of the cell vectors:
Tb 0.0773 0.0773 0.1144  6 Tb 3.58-3.59, 1 Sm 3.59, 5 Pm 3.59-3.60
Tb 0.1546 0.1546 0.7319  6 Tb 3.56-3.61, 3 Sm 3.58-3.60, 3 Pm 3.59-3.60
Tb 0.3075 0.3075 0.9607  8 Tb 3.56-3.59, 3 Sm 3.59, 1 Pm 3.59
Tb 0.3841 0.3841 0.5781  5 Tb 3.57-3.61, 3 Sm 3.58-3.59, 4 Pm 3.59-3.60
Tb 0.6159 0.6159 0.4219  5 Tb 3.57-3.61, 3 Sm 3.58-3.59, 4 Pm 3.59-3.60
Tb 0.6925 0.6925 0.0393  8 Tb 3.56-3.59, 3 Sm 3.59, 1 Pm 3.59
Tb 0.8454 0.8454 0.2681  6 Tb 3.56-3.61, 3 Sm 3.58-3.60, 3 Pm 3.59-3.60
Tb 0.9227 0.9227 0.8856  6 Tb 3.58-3.59, 1 Sm 3.59, 5 Pm 3.59-3.60
Pm 0.0000 0.0000 0.5000  4 Pm 3.59, 8 Tb 3.60
Pm 0.4613 0.4613 0.1928  9 Tb 3.59-3.60, 3 Pm 3.59-3.60
Pm 0.5387 0.5387 0.8072  9 Tb 3.59-3.60, 3 Pm 3.59-3.60
Sm 0.2309 0.2309 0.3458  10 Tb 3.58-3.60, 2 Sm 3.60
Sm 0.7691 0.7691 0.6542  10 Tb 3.58-3.60, 2 Sm 3.60

=====

Entry 4:
A geometry-optimized Tb3Pm8Sm2 structure. Source: the Alexandria database, functional PBE.

Output
The value obtained for the size of the total moment is 0.00 μB per atom. Its formation energy is 0.015 eV/atom. The calculation puts the energy relative to the lowest polymorph listed for this composition at 0 meV per atom. For the total energy, the calculation gives -4.703 eV per atom.

a = 6.2768 Å, b = 6.2817 Å, c = 11.4715 Å
α = 89.97°, β = 79.50°, γ = 80.41°
With the nearest neighbours (Å) after each atom.
Sites, in units of the cell vectors:
Tb 0.0000 0.0000 0.0000  8 Pm 3.61-3.62, 4 Tb 3.62
Tb 0.2301 0.4611 0.0758  8 Pm 3.60-3.63, 4 Tb 3.60-3.63
Tb 0.7699 0.5389 0.9242  8 Pm 3.60-3.63, 4 Tb 3.60-3.63
Pm 0.0771 0.1549 0.6940  2 Tb 3.61-3.62, 7 Pm 3.62-3.66, 3 Sm 3.63-3.65
Pm 0.1539 0.3078 0.3834  7 Pm 3.62-3.66, 1 Tb 3.63, 4 Sm 3.63-3.64
Pm 0.3074 0.6168 0.7713  4 Tb 3.60-3.62, 6 Pm 3.62-3.63, 2 Sm 3.65
Pm 0.4612 0.9213 0.1522  6 Pm 3.60-3.64, 5 Tb 3.60-3.63, 1 Sm 3.64
Pm 0.5388 0.0787 0.8478  6 Pm 3.60-3.64, 5 Tb 3.60-3.63, 1 Sm 3.64
Pm 0.6926 0.3832 0.2287  4 Tb 3.60-3.62, 6 Pm 3.62-3.63, 2 Sm 3.65
Pm 0.8461 0.6922 0.6166  7 Pm 3.62-3.66, 1 Tb 3.63, 4 Sm 3.63-3.64
Pm 0.9229 0.8451 0.3060  2 Tb 3.61-3.62, 7 Pm 3.62-3.66, 3 Sm 3.63-3.65
Sm 0.3848 0.7692 0.4611  10 Pm 3.63-3.65, 2 Sm 3.63
Sm 0.6152 0.2308 0.5389  10 Pm 3.63-3.65, 2 Sm 3.63